[1]
InTe2Au (PBE-GGA, optimized geometry); calculated volume = 28.23 Å³ per atom; uncorrected formation energy = -0.25 eV per formula unit; E_tot = -3.136 eV/atom; total moment = 0.00 μB/f.u.
1.0
1.628 -11.762 0.000
1.628 11.762 0.000
0.000 0.000 5.897
In Te Au
2 4 2
direct
0.680 0.320 0.750 In
0.320 0.680 0.250 In
0.819 0.181 0.750 Te
0.053 0.947 0.750 Te
0.947 0.053 0.250 Te
0.181 0.819 0.250 Te
0.936 0.064 0.750 Au
0.064 0.936 0.250 Au

[2]
In2TeAu (PBE-GGA, optimized geometry); calculated volume = 25.92 Å³ per atom; uncorrected formation energy = 0.16 eV per formula unit; E_tot = -2.934 eV/atom; total moment = 0.00 μB/f.u.
1.0
-2.392 -6.218 -1.857
5.784 1.256 -1.536
0.994 -2.532 1.680
Au In Te
1 2 1
direct
0.500 0.500 0.000 Au
0.000 0.000 0.000 In
0.500 0.000 0.500 In
0.000 0.500 0.500 Te

[3]
InTe2Au (PBE-GGA, optimized geometry); calculated volume = 35.84 Å³ per atom; uncorrected formation energy = 0.09 eV per formula unit; E_tot = -3.051 eV/atom; total moment = 0.00 μB/f.u.
1.0
4.799 -0.146 0.000
-2.938 3.797 0.000
0.000 0.000 8.059
In Au Te
1 1 2
direct
0.500 0.500 0.750 In
0.500 0.500 0.250 Au
0.000 0.000 0.476 Te
0.000 0.000 0.024 Te

[4]
In2TeAu (PBE-GGA, optimized geometry); calculated volume = 25.98 Å³ per atom; uncorrected formation energy = 0.09 eV per formula unit; E_tot = -2.951 eV/atom; total moment = 0.00 μB/f.u.
1.0
-0.967 -3.966 -1.183
1.378 -1.454 3.748
-5.282 0.635 2.189
Au In Te
1 2 1
direct
0.000 0.500 0.500 Au
0.500 0.500 0.000 In
0.000 0.000 0.000 In
0.500 0.000 0.500 Te

[5]
In2TeAu (PBE-GGA, optimized geometry); calculated volume = 27.57 Å³ per atom; uncorrected formation energy = -0.47 eV per formula unit; E_tot = -3.092 eV/atom; total moment = 0.00 μB/f.u.
1.0
-3.541 -0.504 2.627
1.445 -4.850 1.018
3.095 -0.207 4.132
Au In Te
1 2 1
direct
0.500 0.750 0.750 Au
0.000 0.981 0.981 In
0.000 0.519 0.519 In
0.500 0.250 0.250 Te

[6]
InTe2Au (PBE-GGA, optimized geometry); calculated volume = 28.93 Å³ per atom; uncorrected formation energy = 0.05 eV per formula unit; E_tot = -3.062 eV/atom; total moment = 0.00 μB/f.u.
1.0
-6.460 3.968 -0.428
-2.515 -4.679 -5.426
-6.125 -2.721 -0.127
Te Au In
4 2 2
direct
0.325 0.175 0.000 Te
0.825 0.325 0.000 Te
0.175 0.675 0.000 Te
0.675 0.825 0.000 Te
0.250 0.750 0.500 Au
0.750 0.250 0.500 Au
0.250 0.250 0.500 In
0.750 0.750 0.500 In

[7]
InTe2Au (PBE-GGA, optimized geometry); calculated volume = 27.49 Å³ per atom; uncorrected formation energy = -0.42 eV per formula unit; E_tot = -3.180 eV/atom; total moment = 0.00 μB/f.u.
1.0
4.322 0.009 0.018
2.160 3.744 0.018
2.091 1.210 6.814
Au In Te
1 1 2
direct
0.500 0.500 0.503 Au
0.239 0.239 0.279 In
0.772 0.772 0.692 Te
0.989 0.989 0.026 Te

[8]
InTeAu2 (PBE-GGA, optimized geometry); calculated volume = 23.12 Å³ per atom; uncorrected formation energy = -0.21 eV per formula unit; offset from the most stable computed form = 4.19 kJ per mole of atoms; E_tot = -3.160 eV/atom; total moment = 0.00 μB/f.u.
1.0
4.133 0.000 0.000
0.000 3.141 -0.004
0.000 0.009 7.124
Au Te In
2 1 1
direct
0.000 0.750 0.460 Au
0.000 0.750 0.040 Au
0.500 0.750 0.750 Te
0.500 0.250 0.250 In

[9]
InTe2Au (PBE-GGA, optimized geometry); calculated volume = 27.23 Å³ per atom; uncorrected formation energy = -0.60 eV per formula unit; E_tot = -3.225 eV/atom; total moment = 0.00 μB/f.u.
1.0
-3.908 0.783 -1.545
1.865 -3.776 -0.707
-4.772 -3.191 4.543
Te In Au
2 1 1
direct
0.180 0.948 0.456 Te
0.204 0.462 0.919 Te
0.692 0.705 0.188 In
0.692 0.205 0.688 Au

[10]
In2TeAu (PBE-GGA, optimized geometry); calculated volume = 27.68 Å³ per atom; uncorrected formation energy = -0.80 eV per formula unit; E_tot = -3.174 eV/atom; total moment = 0.00 μB/f.u.
1.0
-3.615 -1.704 1.418
-2.681 -1.849 -2.716
1.210 -7.401 0.533
In Au Te
2 1 1
direct
0.260 0.260 0.219 In
0.072 0.072 0.784 In
0.667 0.667 0.998 Au
0.500 0.500 0.499 Te

[11]
InTe2Au (PBE-GGA, optimized geometry); calculated volume = 26.92 Å³ per atom; uncorrected formation energy = 0.43 eV per formula unit; E_tot = -2.967 eV/atom; total moment = 0.00 μB/f.u.
1.0
3.276 0.049 0.000
-0.762 3.186 0.000
0.000 0.000 10.280
In Te Au
1 2 1
direct
0.500 0.500 0.709 In
0.500 0.500 0.305 Te
0.000 0.000 0.968 Te
0.000 0.000 0.518 Au

[12]
In2TeAu (PBE-GGA, optimized geometry); calculated volume = 25.94 Å³ per atom; uncorrected formation energy = 0.22 eV per formula unit; E_tot = -2.918 eV/atom; total moment = 0.00 μB/f.u.
1.0
-1.957 0.611 5.278
3.665 -2.644 3.411
0.911 3.880 -4.022
In Au Te
2 1 1
direct
0.000 0.000 0.000 In
0.250 0.750 0.500 In
0.750 0.250 0.500 Au
0.500 0.500 0.000 Te

Repeat the fifth record exactly.
In2TeAu (PBE-GGA, optimized geometry); calculated volume = 27.57 Å³ per atom; uncorrected formation energy = -0.47 eV per formula unit; E_tot = -3.092 eV/atom; total moment = 0.00 μB/f.u.
1.0
-3.541 -0.504 2.627
1.445 -4.850 1.018
3.095 -0.207 4.132
Au In Te
1 2 1
direct
0.500 0.750 0.750 Au
0.000 0.981 0.981 In
0.000 0.519 0.519 In
0.500 0.250 0.250 Te

calculated volume of number 10 (In2TeAu)? 27.68 Å³ per atom

Which value of total moment does entry 2 give? 0.00 μB/f.u.

The lowest uncorrected formation energy belongs to which entry? number 10